Model i:
{"formula": "ScZnW", "functional": "GGA-PBE", "state": "optimized geometry", "cell": [[6.896, 0.013, -0.012], [6.264, 2.743, 0.020], [0.632, -0.177, 2.724]], "species": ["Sc", "W", "Zn"], "fractional_positions": [[0.001, 0.001, 0.999], [0.327, 0.327, 0.673], [0.672, 0.672, 0.328]], "magnetic_moment_mub_per_atom": 0.00}

Model ii:
{"formula": "ScZnW", "functional": "GGA-PBE", "state": "optimized geometry", "cell": [[6.858, 0.013, 0.000], [5.715, 3.792, 0.000], [-6.287, -1.903, 1.974]], "species": ["Sc", "W", "Zn"], "fractional_positions": [[0.002, 0.002, 0.000], [0.327, 0.327, 0.000], [0.672, 0.672, 0.000]], "magnetic_moment_mub_per_atom": 0.00}

Model iii:
{"formula": "ScZnW", "functional": "GGA-PBE", "state": "optimized geometry", "cell": [[-2.190, -2.585, 2.707], [1.172, -4.150, 0.460], [1.844, -1.336, 3.690]], "species": ["Sc", "W", "Zn"], "fractional_positions": [[0.000, 0.000, 0.000], [0.500, 0.500, 0.500], [0.250, 0.250, 0.250]], "magnetic_moment_mub_per_atom": 0.00}

Model iv:
{"formula": "ScZnW", "functional": "GGA-PBE", "state": "optimized geometry", "cell": [[5.276, 0.005, -0.001], [3.128, 4.249, 0.001], [-3.944, -2.638, 2.309]], "species": ["Sc", "W", "Zn"], "fractional_positions": [[0.000, 0.000, 0.000], [0.678, 0.678, 0.000], [0.322, 0.322, 0.000]], "magnetic_moment_mub_per_atom": 0.00}

The most stable arrangement is model ii, and the next structure is 11 meV/atom less stable.

Model i:
{"formula": "ZrSc2W", "functional": "GGA-PBE", "state": "optimized geometry", "cell": [[4.721, 0.000, 0.000], [0.000, 3.017, 0.026], [0.000, 1.789, 5.875]], "species": ["Sc", "Sc", "W", "Zr"], "fractional_positions": [[0.000, 0.970, 0.988], [0.500, 0.298, 0.278], [0.000, 0.605, 0.497], [0.500, 0.627, 0.738]], "magnetic_moment_mub_per_atom": 0.00}

Model ii:
{"formula": "ZrSc2W", "functional": "GGA-PBE", "state": "optimized geometry", "cell": [[5.204, 0.007, -0.028], [4.373, 2.821, -0.028], [0.508, 0.150, 5.641]], "species": ["Sc", "Sc", "W", "Zr"], "fractional_positions": [[0.001, 0.001, 0.998], [0.242, 0.242, 0.267], [0.503, 0.503, 0.499], [0.755, 0.755, 0.736]], "magnetic_moment_mub_per_atom": 0.00}

Model iii:
{"formula": "ZrSc2W", "functional": "GGA-PBE", "state": "optimized geometry", "cell": [[0.000, 3.439, 3.439], [3.439, 0.000, 3.439], [3.439, 3.439, 0.000]], "species": ["Sc", "Sc", "Zr", "W"], "fractional_positions": [[0.250, 0.250, 0.250], [0.750, 0.750, 0.750], [0.000, 0.000, 0.000], [0.500, 0.500, 0.500]], "magnetic_moment_mub_per_atom": 0.00}

Model iv:
{"formula": "ZrSc2W", "functional": "GGA-PBE", "state": "optimized geometry", "cell": [[5.846, 0.032, 0.023], [4.778, 3.368, 0.023], [1.880, 0.602, 4.288]], "species": ["Sc", "Sc", "W", "Zr"], "fractional_positions": [[0.972, 0.972, 0.028], [0.528, 0.528, 0.472], [0.250, 0.250, 0.250], [0.750, 0.750, 0.750]], "magnetic_moment_mub_per_atom": 0.00}

The most stable arrangement is model i, and the next structure is 24 meV/atom less stable.

Model i:
{"formula": "ZrSc2W", "functional": "GGA-PBE", "state": "optimized geometry", "cell": [[-8.864, -0.531, 5.477], [-7.212, -2.586, 7.082], [-6.988, 0.422, 7.735]], "species": ["Sc", "Sc", "W", "Zr"], "fractional_positions": [[0.002, 0.002, 0.002], [0.242, 0.242, 0.242], [0.501, 0.501, 0.501], [0.755, 0.755, 0.755]], "magnetic_moment_mub_per_atom": 0.00}

Model ii:
{"formula": "ZrSc2W", "functional": "GGA-PBE", "state": "optimized geometry", "cell": [[2.916, 0.000, 0.000], [0.000, 4.674, 0.000], [0.000, 0.000, 6.078]], "species": ["Sc", "Sc", "W", "Zr"], "fractional_positions": [[0.000, 0.000, 0.000], [0.500, 0.500, 0.268], [0.000, 0.000, 0.499], [0.500, 0.500, 0.733]], "magnetic_moment_mub_per_atom": 0.00}

Model iii:
{"formula": "ZrSc2W", "functional": "GGA-PBE", "state": "optimized geometry", "cell": [[-2.546, 1.422, -0.321], [-0.538, -2.193, 1.873], [2.373, 5.982, 7.685]], "species": ["Sc", "Sc", "W", "Zr"], "fractional_positions": [[0.000, 0.000, 0.028], [0.000, 0.000, 0.472], [0.500, 0.500, 0.250], [0.500, 0.500, 0.750]], "magnetic_moment_mub_per_atom": 0.00}

Model iv:
{"formula": "ZrSc2W", "functional": "GGA-PBE", "state": "optimized geometry", "cell": [[4.149, 0.000, 0.000], [0.000, 4.136, 0.000], [0.000, 0.000, 4.808]], "species": ["Sc", "Sc", "W", "Zr"], "fractional_positions": [[0.000, 0.000, 0.000], [0.500, 0.500, 0.000], [0.500, 0.000, 0.500], [0.000, 0.500, 0.500]], "magnetic_moment_mub_per_atom": 0.00}

The most stable arrangement is model iii, and the next structure is 13 meV/atom less stable.

Model i:
{"formula": "ZrSc2W", "functional": "GGA-PBE", "state": "optimized geometry", "cell": [[3.610, 0.000, 0.000], [0.000, 3.610, 0.000], [0.000, 0.000, 6.348]], "species": ["Sc", "Sc", "W", "Zr"], "fractional_positions": [[0.000, 0.000, 0.031], [0.000, 0.000, 0.469], [0.500, 0.500, 0.250], [0.500, 0.500, 0.750]], "magnetic_moment_mub_per_atom": 0.00}

Model ii:
{"formula": "ZrSc2W", "functional": "GGA-PBE", "state": "optimized geometry", "cell": [[5.675, -0.011, -0.009], [2.349, 5.167, 0.009], [-3.438, -3.471, 2.888]], "species": ["Sc", "Sc", "W", "Zr"], "fractional_positions": [[0.997, 0.997, 0.000], [0.277, 0.777, 0.500], [0.508, 0.508, 0.000], [0.718, 0.218, 0.500]], "magnetic_moment_mub_per_atom": 0.00}

Model iii:
{"formula": "ZrSc2W", "functional": "GGA-PBE", "state": "optimized geometry", "cell": [[3.470, 0.000, 0.000], [0.000, 3.470, 0.000], [0.000, 0.000, 7.177]], "species": ["Sc", "Sc", "W", "Zr"], "fractional_positions": [[0.000, 0.000, 0.980], [0.500, 0.500, 0.291], [0.000, 0.000, 0.517], [0.500, 0.500, 0.712]], "magnetic_moment_mub_per_atom": 0.00}

Model iv:
{"formula": "ZrSc2W", "functional": "GGA-PBE", "state": "optimized geometry", "cell": [[-1.395, -0.086, -5.398], [-3.200, -3.018, 3.428], [-1.750, 2.327, 0.415]], "species": ["Sc", "Sc", "W", "Zr"], "fractional_positions": [[0.000, 0.000, 0.000], [0.500, 0.500, 0.000], [0.500, 0.000, 0.500], [0.000, 0.500, 0.500]], "magnetic_moment_mub_per_atom": 0.00}

The most stable arrangement is model iii, and the next structure is 42 meV/atom less stable.

Model i:
{"formula": "ZrSc2W", "functional": "GGA-PBE", "state": "optimized geometry", "cell": [[-5.721, 3.499, -7.953], [-6.934, 0.697, -7.724], [-7.989, 2.971, -5.965]], "species": ["Sc", "Sc", "W", "Zr"], "fractional_positions": [[0.993, 0.993, 0.993], [0.507, 0.507, 0.507], [0.250, 0.250, 0.250], [0.750, 0.750, 0.750]], "magnetic_moment_mub_per_atom": 0.00}

Model ii:
{"formula": "ZrSc2W", "functional": "GGA-PBE", "state": "optimized geometry", "cell": [[-4.808, -0.756, 0.360], [0.786, -4.421, 1.913], [2.032, 3.955, 2.012]], "species": ["Sc", "Sc", "W", "Zr"], "fractional_positions": [[0.000, 0.000, 0.000], [0.250, 0.750, 0.500], [0.500, 0.500, 0.000], [0.750, 0.250, 0.500]], "magnetic_moment_mub_per_atom": 0.00}

The most stable arrangement is model ii, and the next structure is 77 meV/atom less stable.

Model i:
{"formula": "ZrSc2W", "functional": "GGA-PBE", "state": "optimized geometry", "cell": [[-2.003, -2.212, -0.359], [0.827, 0.136, 2.886], [-7.405, 6.408, 1.818]], "species": ["Sc", "Sc", "W", "Zr"], "fractional_positions": [[0.000, 0.000, 0.997], [0.500, 0.500, 0.279], [0.000, 0.000, 0.502], [0.500, 0.500, 0.722]], "magnetic_moment_mub_per_atom": 0.00}

Model ii:
{"formula": "ZrSc2W", "functional": "GGA-PBE", "state": "optimized geometry", "cell": [[4.795, 0.000, 0.000], [0.000, 2.989, -0.036], [0.000, 1.657, 5.723]], "species": ["Sc", "Sc", "W", "Zr"], "fractional_positions": [[0.000, 0.076, 0.016], [0.000, 0.424, 0.484], [0.500, 0.250, 0.250], [0.500, 0.750, 0.750]], "magnetic_moment_mub_per_atom": 0.00}

The most stable arrangement is model i, and the next structure is 7 meV/atom less stable.

Model i:
{"formula": "Zr2ScW2", "functional": "GGA-PBE", "state": "optimized geometry", "cell": [[-3.352, -1.973, 1.674], [1.857, 0.075, 3.805], [-3.358, 4.477, 3.907]], "species": ["Sc", "Zr", "Zr", "W", "W"], "fractional_positions": [[0.000, 0.000, 0.000], [0.750, 0.250, 0.500], [0.250, 0.750, 0.500], [0.402, 0.402, 0.195], [0.598, 0.598, 0.805]], "magnetic_moment_mub_per_atom": 0.00}

Model ii:
{"formula": "Zr2ScW2", "functional": "GGA-PBE", "state": "optimized geometry", "cell": [[-3.589, -6.742, 0.974], [5.081, -1.917, 5.458], [-2.084, 1.464, 2.454]], "species": ["Sc", "Sc", "Zr", "Zr", "Zr", "Zr", "W", "W", "W", "W"], "fractional_positions": [[0.000, 0.000, 0.000], [0.500, 0.500, 0.000], [0.182, 0.682, 0.500], [0.682, 0.818, 0.500], [0.818, 0.318, 0.500], [0.318, 0.182, 0.500], [0.387, 0.887, 0.000], [0.887, 0.613, 0.000], [0.613, 0.113, 0.000], [0.113, 0.387, 0.000]], "magnetic_moment_mub_per_atom": 0.00}

The most stable arrangement is model ii, and the next structure is 302 meV/atom less stable.

Model i:
{"formula": "Y3Sc", "functional": "GGA-PBE", "state": "optimized geometry", "cell": [[7.131, 0.000, 0.000], [-3.566, 6.176, 0.000], [0.000, 0.000, 5.546]], "species": ["Sc", "Sc", "Y", "Y", "Y", "Y", "Y", "Y"], "fractional_positions": [[0.333, 0.667, 0.250], [0.667, 0.333, 0.750], [0.830, 0.170, 0.250], [0.170, 0.830, 0.750], [0.830, 0.661, 0.250], [0.170, 0.339, 0.750], [0.339, 0.170, 0.250], [0.661, 0.830, 0.750]], "magnetic_moment_mub_per_atom": 0.01}

Model ii:
{"formula": "Y3Sc", "functional": "GGA-PBE", "state": "optimized geometry", "cell": [[-4.482, -4.263, -3.542], [6.605, -2.223, 1.487], [-1.798, -2.117, 4.823]], "species": ["Sc", "Sc", "Y", "Y", "Y", "Y", "Y", "Y"], "fractional_positions": [[0.004, 0.502, 0.000], [0.329, 0.665, 0.500], [0.001, 0.001, 0.000], [0.496, 0.500, 0.000], [0.496, 0.996, 0.000], [0.332, 0.166, 0.500], [0.837, 0.666, 0.500], [0.837, 0.171, 0.500]], "magnetic_moment_mub_per_atom": 0.23}

The most stable arrangement is model i, and the next structure is 10 meV/atom less stable.

Model i:
{"formula": "Y3Sc", "functional": "GGA-PBE", "state": "optimized geometry", "cell": [[-2.111, -1.393, 5.486], [-4.410, -0.708, -4.067], [0.972, -3.339, -0.473]], "species": ["Y", "Y", "Y", "Sc"], "fractional_positions": [[0.000, 0.500, 0.500], [0.500, 0.000, 0.500], [0.500, 0.500, 0.000], [0.000, 0.000, 0.000]], "magnetic_moment_mub_per_atom": 0.00}

Model ii:
{"formula": "Y3Sc", "functional": "GGA-PBE", "state": "optimized geometry", "cell": [[3.524, 0.000, 0.000], [0.000, 3.524, 0.000], [0.000, 0.000, 9.747]], "species": ["Y", "Y", "Y", "Sc"], "fractional_positions": [[0.000, 0.000, 0.500], [0.500, 0.500, 0.238], [0.500, 0.500, 0.762], [0.000, 0.000, 0.000]], "magnetic_moment_mub_per_atom": 0.00}

The most stable arrangement is model ii, and the next structure is 9 meV/atom less stable.

Model i:
{"formula": "Y3Sc", "functional": "GGA-PBE", "state": "optimized geometry", "cell": [[3.578, 0.000, 0.000], [0.000, 5.533, 0.000], [0.000, 0.000, 6.177]], "species": ["Y", "Y", "Y", "Sc"], "fractional_positions": [[0.000, 0.500, 0.329], [0.500, 0.000, 0.498], [0.500, 0.500, 0.838], [0.000, 0.000, 0.002]], "magnetic_moment_mub_per_atom": 0.00}

Model ii:
{"formula": "Y3Sc", "functional": "GGA-PBE", "state": "optimized geometry", "cell": [[-3.248, -5.437, -0.057], [4.928, -2.915, -2.708], [2.298, -1.433, 5.725]], "species": ["Y", "Y", "Y", "Y", "Y", "Y", "Sc", "Sc"], "fractional_positions": [[0.000, 0.250, 0.500], [0.000, 0.750, 0.500], [0.250, 0.500, 0.000], [0.500, 0.000, 0.250], [0.500, 0.000, 0.750], [0.750, 0.500, 0.000], [0.000, 0.000, 0.000], [0.500, 0.500, 0.500]], "magnetic_moment_mub_per_atom": 0.92}

The most stable arrangement is model i, and the next structure is 202 meV/atom less stable.